[1]
This record from OQMD describes an optimized crystal structure of NbNiBiAu. The functional is PBE.

a = 6.6502 Å, b = 6.6502 Å, c = 6.6502 Å
α = 90.00°, β = 90.00°, γ = 90.00°
Last column: nearest neighbours and their distance in Å.
Space group F-43m (No. 216)
Asymmetric unit:
Nb (0.0000, 0.0000, 0.0000)  4 Bi 2.88, 4 Au 2.88
Ni (0.0000, 0.0000, 0.5000)  4 Bi 2.88, 4 Au 2.88
Bi (0.2500, 0.2500, 0.2500)  4 Nb 2.88, 4 Ni 2.88
Au (0.2500, 0.2500, 0.7500)  4 Nb 2.88, 4 Ni 2.88

final energy	-5.47	eV per atom
crystal system	cubic


[2]
This record from OQMD describes an optimized crystal structure of Gd2ErSe3. The functional is PBE.

a = 4.0727 Å, b = 4.0727 Å, c = 10.0386 Å
α = 90.00°, β = 90.00°, γ = 120.00°
Last column: nearest neighbours and their distance in Å.
Space group P-3m1 (No. 164)
Asymmetric unit:
Gd (0.3333, 0.6667, 0.1674)  6 Se 2.89-2.92
Er (0.0000, 0.0000, 0.5000)  6 Se 2.85
Se (0.0000, 0.0000, 0.0000)  6 Gd 2.89
Se (0.3333, 0.6667, 0.6605)  3 Er 2.85, 3 Gd 2.92

final energy	-5.82	eV per atom
crystal system	trigonal


[3]
This record from OQMD describes an optimized crystal structure of AlFeCoAg. The functional is PBE.

a = 6.0083 Å, b = 6.0083 Å, c = 6.0083 Å
α = 90.00°, β = 90.00°, γ = 90.00°
Last column: nearest neighbours and their distance in Å.
Space group F-43m (No. 216)
Asymmetric unit:
Al (0.0000, 0.0000, 0.0000)  4 Co 2.60, 4 Ag 2.60
Fe (0.0000, 0.0000, 0.5000)  4 Ag 2.60, 4 Co 2.60
Co (0.2500, 0.2500, 0.2500)  4 Fe 2.60, 4 Al 2.60
Ag (0.2500, 0.2500, 0.7500)  4 Al 2.60, 4 Fe 2.60

energy above the lowest structure with this stoichiometry	0	meV per atom
crystal system	cubic


[4]
This record from OQMD describes an optimized crystal structure of LiMgZnNi. The functional is PBE.

a = 6.0800 Å, b = 6.0800 Å, c = 6.0800 Å
α = 90.00°, β = 90.00°, γ = 90.00°
Last column: nearest neighbours and their distance in Å.
Space group F-43m (No. 216)
Asymmetric unit:
Li (0.0000, 0.0000, 0.0000)  4 Ni 2.63, 4 Zn 2.63
Mg (0.0000, 0.0000, 0.5000)  4 Ni 2.63, 4 Zn 2.63
Zn (0.2500, 0.2500, 0.2500)  4 Li 2.63, 4 Mg 2.63
Ni (0.2500, 0.2500, 0.7500)  4 Li 2.63, 4 Mg 2.63

energy above the lowest structure with this stoichiometry	118	meV per atom
crystal system	cubic


[5]
This record from OQMD describes an optimized crystal structure of CsCdNO. The functional is PBE.

a = 5.9409 Å, b = 9.1079 Å, c = 5.9495 Å
α = 90.00°, β = 90.00°, γ = 90.00°
Last column: nearest neighbours and their distance in Å.
Space group Pca2_1 (No. 29)
Asymmetric unit:
Cs (0.0006, 0.1515, 0.0000)  5 O 2.96-2.98
Cd (0.0002, 0.4076, 0.5009)  1 O 2.13, 4 N 2.26-2.27
N (0.2499, 0.4998, 0.2507)  4 Cd 2.26-2.27
O (0.0009, 0.8267, 0.0000)  1 Cd 2.13

energy above the lowest structure with this stoichiometry	284	meV per atom
crystal system	orthorhombic


[6]
This record from OQMD describes an optimized crystal structure of Sm2AsPt8. The functional is PBE.

a = 4.3020 Å, b = 17.5078 Å, c = 5.4857 Å
α = 90.00°, β = 90.00°, γ = 90.00°
Last column: nearest neighbours and their distance in Å.
Space group Amm2 (No. 38)
Asymmetric unit:
Sm (0.0000, 0.1256, 0.0000)  7 Pt 3.01-3.29
As (0.5000, 0.0000, 0.2666)  5 Pt 2.30-2.54
Pt (0.0000, 0.0000, 0.5127)  2 As 2.54, 2 Pt 2.83
Pt (0.0000, 0.2025, 0.5083)  6 Pt 2.66-2.69
Pt (0.5000, 0.0000, 0.8481)  1 As 2.30
Pt (0.5000, 0.1131, 0.5087)  1 As 2.38, 2 Pt 2.66
Pt (0.5000, 0.2476, 0.7656)  8 Pt 2.68-2.78

final energy	-6.48	eV per atom
crystal system	orthorhombic